Computed, not measured: a relaxed structure of CaPaRuN3 at the PBE level of DFT.

Lattice parameters (Å, degrees): 7.110 3.429 7.704 90.00 96.04 90.00
Space group P2_1/m (No. 11)
One atom of each set of equivalent atoms:
Ca (0.150, 0.250, 0.178) [2 per cell]
Pa (0.359, 0.750, 0.828) [2 per cell]
Ru (0.112, 0.250, 0.582) [2 per cell]
N (0.145, 0.250, 0.859) [2 per cell]
N (0.193, 0.750, 0.475) [2 per cell]
N (0.422, 0.750, 0.123) [2 per cell]

Calculated values
magnetization: 0.0 Bohr magnetons per cell
E_form (uncorrected): -0.8200 eV/atom
E: -101.34 eV for the cell shown